# 1
VASP calculation (PBE) on crystalline BaAcHo at its relaxed geometry.

Summary:
Excess energy over the best structure of this formula in the dataset ... 0.0125 eV per atom
E_tot ... -3.375 eV/atom
E_form ... 0.162 eV per atom

```
data_BaAcHo
_chemical_formula_sum 'Ba1 Ac1 Ho1'
_cell_length_a 3.9355
_cell_length_b 3.9355
_cell_length_c 9.7058
_cell_angle_alpha 90.00
_cell_angle_beta 90.00
_cell_angle_gamma 120.00
_symmetry_space_group_name_H-M 'P 3 m 1'
_symmetry_Int_Tables_number 156
loop_
_symmetry_equiv_pos_as_xyz
'x,y,z'
'-y,x-y,z'
'-x+y,-x,z'
'-y,-x,z'
'-x+y,y,z'
'x,x-y,z'
loop_
_atom_site_label
_atom_site_fract_x
_atom_site_fract_y
_atom_site_fract_z
Ba1 0.0000 0.0000 0.0000
Ac1 0.3333 0.6667 0.6292
Ho1 0.6667 0.3333 0.3332
```

# 2
VASP calculation (PBE) on crystalline SrLiCd2 at its relaxed geometry.

Summary:
Excess energy over the best structure of this formula in the dataset ... 0.0885 eV per atom
E_tot ... -1.538 eV/atom
E_form ... -0.181 eV per atom

```
data_SrLiCd2
_chemical_formula_sum 'Sr1 Li1 Cd2'
_cell_length_a 3.720
_cell_length_b 4.949
_cell_length_c 6.132
_cell_angle_alpha 90.00
_cell_angle_beta 90.30
_cell_angle_gamma 90.00
_symmetry_space_group_name_H-M 'P 1 m 1'
_symmetry_Int_Tables_number 6
loop_
_symmetry_equiv_pos_as_xyz
'x,y,z'
'x,-y,z'
loop_
_atom_site_label
_atom_site_fract_x
_atom_site_fract_y
_atom_site_fract_z
Sr1 0.000 0.000 0.000
Li1 0.993 0.500 0.409
Cd1 0.498 0.000 0.493
Cd2 0.498 0.500 0.771
```

# 3
VASP calculation (PBE) on crystalline Ac4BiO8 at its relaxed geometry.

Summary:
E_tot ... -7.102 eV/atom
Formation energy without anion corrections ... -32.34 eV/f.u.

```
data_Ac4BiO8
_chemical_formula_sum 'Ac4 Bi1 O8'
_cell_length_a 6.150
_cell_length_b 6.150
_cell_length_c 6.150
_cell_angle_alpha 90.00
_cell_angle_beta 90.00
_cell_angle_gamma 90.00
_symmetry_space_group_name_H-M 'P m -3 m'
_symmetry_Int_Tables_number 221
_symmetry_space_group_name_Hall '-P 4 2 3'
loop_
_atom_site_label
_atom_site_fract_x
_atom_site_fract_y
_atom_site_fract_z
Ac1 0.000 0.000 0.000
Ac2 0.000 0.500 0.500
Bi1 0.500 0.500 0.500
O1 0.262 0.262 0.262
```

# 4
VASP calculation (PBE) on crystalline Hf4PSe5 at its relaxed geometry.

Summary:
E_tot ... -7.564 eV/atom
Formation energy without anion corrections ... -12.99 eV/f.u.

```
data_Hf4PSe5
_chemical_formula_sum 'Hf8 P2 Se10'
_cell_length_a 16.453
_cell_length_b 3.713
_cell_length_c 7.597
_cell_angle_alpha 90.00
_cell_angle_beta 102.13
_cell_angle_gamma 90.00
_symmetry_space_group_name_H-M 'C 1 2/m 1'
_symmetry_Int_Tables_number 12
loop_
_symmetry_equiv_pos_as_xyz
'x,y,z'
'-x,-y,-z'
'-x,y,-z'
'x,-y,z'
'x+1/2,y+1/2,z'
'-x+1/2,-y+1/2,-z'
'-x+1/2,y+1/2,-z'
'x+1/2,-y+1/2,z'
loop_
_atom_site_label
_atom_site_fract_x
_atom_site_fract_y
_atom_site_fract_z
Hf1 0.001 0.000 0.231
Hf2 0.158 0.500 0.078
P1 0.000 0.500 0.000
Se1 0.000 0.500 0.500
Se2 0.166 0.000 0.332
Se3 0.170 0.000 0.822
```